No. 1
Density functional theory data (GGA-PBEsol) for a relaxed structure of YIr2Rh.

Unit cell a=4.5284 b=4.5284 c=4.5284 alpha=60.00 beta=60.00 gamma=60.00
With the nearest neighbours (Å) after each atom.
Fractional coordinates of all 4 atoms:
Ir: 0.0000 0.0000 0.0000  4 Y 2.77, 4 Ir 2.77
Ir: 0.7500 0.7500 0.7500  4 Rh 2.77, 4 Ir 2.77
Rh: 0.5000 0.5000 0.5000  4 Ir 2.77, 4 Y 2.77
Y: 0.2500 0.2500 0.2500  4 Rh 2.77, 4 Ir 2.77

Summary:
For the distance to the lowest polymorph of the same formula, the calculation gives 0.2451 eV/atom. The space group is F-43m (216). Its formation energy is -0.014 eV per atom.

No. 2
Density functional theory data (GGA-PBEsol) for a relaxed structure of LaSi2Br.

Unit cell a=3.8313 b=5.0772 c=6.1770 alpha=90.95 beta=108.07 gamma=90.00
With the nearest neighbours (Å) after each atom.
Fractional coordinates of all 4 atoms:
Br: 0.5000 0.0000 0.0000  4 La 3.18, 4 Si 3.45-3.46
La: 0.0000 0.5000 0.0000  4 Si 3.03, 4 Br 3.18
Si: 0.3005 0.4906 0.6009  2 Si 2.26
Si: 0.6995 0.5094 0.3991  2 Si 2.26

Summary:
For the distance to the lowest polymorph of the same formula, the calculation gives 0.0422 eV/atom. As for the uncorrected formation energy: -0.5431 eV/atom. The space group is C2/m (12).